Computed, not measured: crystalline RbScBeSe3 at its relaxed geometry at the PBE level of DFT.

Lattice parameters (Å, degrees): 3.8757 9.3703 9.6126 112.83 90.00 90.00
Closest atoms and distances in Å follow each position.
Fractional coordinates of all 12 atoms:
Se  0.2500  0.5245  0.8383  3 Sc 2.67-2.71
Se  0.7500  0.4755  0.1617  3 Sc 2.67-2.71
Rb  0.7500  0.7874  0.7605  7 Se 3.44-3.58
Se  0.2500  0.1245  0.8477  1 Be 2.21
Se  0.7500  0.1801  0.5389  3 Be 2.29-2.34
Sc  0.7500  0.3332  0.8609  6 Se 2.67-2.86
Be  0.7500  0.9197  0.3958  4 Se 2.21-2.34
Rb  0.2500  0.2126  0.2395  7 Se 3.44-3.58
Se  0.2500  0.8199  0.4611  3 Be 2.29-2.34
Se  0.7500  0.8755  0.1523  1 Be 2.21
Sc  0.2500  0.6668  0.1391  6 Se 2.67-2.86
Be  0.2500  0.0803  0.6042  4 Se 2.21-2.34

Calculated values
The formation energy without anion corrections comes out at -8.0 eV/f.u. The value obtained for the volume is 26.81 A^3/atom. As for the space group: P2_1/m. The calculation puts the total magnetization at 0.000 Bohr magnetons per cell. The total energy is -4.9168 eV per atom.